(1)
A plane-wave DFT calculation with PBE-GGA was carried out for a relaxed YTc2 crystal.

abc: 7.4726 7.4726 3.1811
angles: 90.00 90.00 141.72
Atoms (fractional coordinates):
Y 0.0995 0.9005 0.7500
Y 0.9005 0.0995 0.2500
Tc 0.2745 0.7255 0.2500
Tc 0.4214 0.5786 0.7500
Tc 0.5786 0.4214 0.2500
Tc 0.7255 0.2745 0.7500

Summary:
- Crystal system: orthorhombic
- Energy of formation from the pure elements: 23.48 kJ per mole of atoms
- Distance to the lowest polymorph of the same formula: 0.419 eV per atom



(2)
A plane-wave DFT calculation with PBE-GGA was carried out for a relaxed YTc2 crystal.

abc: 5.4491 5.4491 6.6341
angles: 106.08 106.08 34.81
Atoms (fractional coordinates):
Y 0.1590 0.1590 0.3186
Y 0.8410 0.8410 0.6814
Tc 0.1582 0.1582 0.8461
Tc 0.5000 0.5000 0.0000
Tc 0.5000 0.5000 0.5000
Tc 0.8418 0.8418 0.1539

Summary:
- Crystal system: monoclinic
- Energy of formation from the pure elements: 27.80 kJ per mole of atoms
- Distance to the lowest polymorph of the same formula: 0.464 eV per atom



(3)
A plane-wave DFT calculation with PBE-GGA was carried out for a relaxed Y5Tc crystal.

abc: 5.8932 5.8932 6.0118
angles: 90.00 90.00 120.00
Atoms (fractional coordinates):
Y 0.0000 0.5000 0.0000
Y 0.3333 0.6667 0.5000
Y 0.5000 0.0000 0.0000
Y 0.5000 0.5000 0.0000
Y 0.6667 0.3333 0.5000
Tc 0.0000 0.0000 0.5000

Summary:
- Crystal system: hexagonal
- Energy of formation from the pure elements: 92.84 kJ per mole of atoms
- Distance to the lowest polymorph of the same formula: 0.957 eV per atom



(4)
A plane-wave DFT calculation with PBE-GGA was carried out for a relaxed YTc3 crystal.

abc: 5.3081 5.3081 5.3081
angles: 116.85 116.85 116.85
Atoms (fractional coordinates):
Y 0.0000 0.0000 0.0000
Tc 0.0000 0.5000 0.5000
Tc 0.5000 0.0000 0.5000
Tc 0.5000 0.5000 0.0000

Summary:
- Crystal system: trigonal
- Energy of formation from the pure elements: 30.86 kJ per mole of atoms
- Distance to the lowest polymorph of the same formula: 0.137 eV per atom



Number 1: total energy -52.93 eV/cell. Number 2: total energy -52.66 eV/cell. Number 3: total energy -36.91 eV/cell. Number 4: total energy -36.28 eV/cell.